DFT (PBE) results for Mg5InGa after structural relaxation.

Results
Formation energy: -0.0292 eV per atom
Energy above the most stable polymorph in this dataset: 28.9 meV/atom
Total magnetization: 0.00 μB/f.u.
Raw total energy: -1.9918 eV/atom
Density of states at the Fermi level: 0.4114 states/eV/atom
SG: C2/c

a = 5.7459 Å, b = 5.7459 Å, c = 10.0756 Å
α = 102.43°, β = 102.43°, γ = 93.63°
Positions (direct):
1 Mg 0.0104 0.3933 0.8351
2 Mg 0.1608 0.8392 0.7500
3 Mg 0.2428 0.5337 0.4678
4 Mg 0.3933 0.0104 0.3351
5 Mg 0.4663 0.7572 0.0322
6 Mg 0.5337 0.2428 0.9678
7 Mg 0.6067 0.9896 0.6649
8 Mg 0.7572 0.4663 0.5322
9 Mg 0.8392 0.1608 0.2500
10 Mg 0.9896 0.6067 0.1649
11 In 0.0000 0.0000 0.0000
12 In 0.0000 0.0000 0.5000
13 Ga 0.4982 0.5018 0.2500
14 Ga 0.5018 0.4982 0.7500